Entry 1:
! ZnMoPO2 (SCAN, single point on PBEsol structure); values from VASP
! * excess energy over the best structure of this formula in the dataset: 0.0 kJ per mole of atoms
! * SG: P4/mmm, No. 123
! * N(E_F): 2.086 states/eV/f.u.
! * formation energy from raw total energies: -1.024 eV/atom
! * uncorrected energy: -15.276 eV/atom
&SYSTEM
  ibrav = 0, nat = 5, ntyp = 4
/
ATOMIC_SPECIES
P 30.97 P.upf
Mo 95.94 Mo.upf
Zn 65.41 Zn.upf
O 16.00 O.upf
ATOMIC_POSITIONS angstrom
P 0.0000 0.0000 2.5432
Mo 0.0000 0.0000 0.0000
Zn 1.8718 1.8718 2.5432
O 0.0000 1.8718 0.0000
O 1.8718 0.0000 0.0000
CELL_PARAMETERS angstrom
3.7437 0.0000 0.0000
0.0000 3.7437 0.0000
0.0000 0.0000 5.0863

---

Entry 2:
! SrOsSe2 (SCAN, single point on PBEsol structure); values from VASP
! * excess energy over the best structure of this formula in the dataset: 39.5 kJ per mole of atoms
! * SG: P4mm, No. 99
! * N(E_F): 2.774 states/eV/f.u.
! * formation energy from raw total energies: -0.131 eV/atom
! * uncorrected energy: -33.709 eV/atom
&SYSTEM
  ibrav = 0, nat = 4, ntyp = 3
/
ATOMIC_SPECIES
Os 190.23 Os.upf
Se 78.96 Se.upf
Sr 87.62 Sr.upf
ATOMIC_POSITIONS angstrom
Os -2.8201 -4.9150 1.9902
Se -0.5703 -5.9324 1.0608
Se -2.4549 -1.1170 1.3111
Sr -0.2825 -2.9379 0.5253
CELL_PARAMETERS angstrom
-1.2192 0.7143 3.3391
-3.3976 0.1010 -1.2621
-0.6044 -6.2870 1.1242

---

> What is the formula in the second record?

SrOsSe2

---

> Number 1 is which compound?

ZnMoPO2

---

Repeat the second record exactly.
! SrOsSe2 (SCAN, single point on PBEsol structure); values from VASP
! * excess energy over the best structure of this formula in the dataset: 39.5 kJ per mole of atoms
! * SG: P4mm, No. 99
! * N(E_F): 2.774 states/eV/f.u.
! * formation energy from raw total energies: -0.131 eV/atom
! * uncorrected energy: -33.709 eV/atom
&SYSTEM
  ibrav = 0, nat = 4, ntyp = 3
/
ATOMIC_SPECIES
Os 190.23 Os.upf
Se 78.96 Se.upf
Sr 87.62 Sr.upf
ATOMIC_POSITIONS angstrom
Os -2.8201 -4.9150 1.9902
Se -0.5703 -5.9324 1.0608
Se -2.4549 -1.1170 1.3111
Sr -0.2825 -2.9379 0.5253
CELL_PARAMETERS angstrom
-1.2192 0.7143 3.3391
-3.3976 0.1010 -1.2621
-0.6044 -6.2870 1.1242